Computed, not measured: a relaxed NaSnPd6 crystal at the PBE level of DFT.

Cell lengths 5.3817, 5.3817, 5.3817 Å; angles 86.07, 86.07, 86.07 degrees
Last column: nearest neighbours and their distance in Å.
Element x y z (fractional)
Na1 0.0000 0.0000 0.0000  6 Pd 2.69
Sn1 0.5000 0.5000 0.5000  6 Pd 2.62
Pd1 0.1653 0.5387 0.1653  1 Sn 2.62, 5 Pd 2.67-2.79, 1 Na 2.69
Pd2 0.1653 0.1653 0.5387  1 Sn 2.62, 5 Pd 2.67-2.79, 1 Na 2.69
Pd3 0.8347 0.4613 0.8347  1 Sn 2.62, 5 Pd 2.67-2.79, 1 Na 2.69
Pd4 0.4613 0.8347 0.8347  1 Sn 2.62, 5 Pd 2.67-2.79, 1 Na 2.69
Pd5 0.8347 0.8347 0.4613  1 Sn 2.62, 5 Pd 2.67-2.79, 1 Na 2.69
Pd6 0.5387 0.1653 0.1653  1 Sn 2.62, 5 Pd 2.67-2.79, 1 Na 2.69

Summary:
SG: R-3m
Formation energy in eV/atom: 0.154

---

Computed, not measured: a relaxed Ho3Tl2Pt crystal at the PBE level of DFT.

Cell lengths 6.1887, 6.9410, 8.1523 Å; angles 103.51, 112.31, 90.00 degrees
Last column: nearest neighbours and their distance in Å.
Element x y z (fractional)
Ho1 0.3636 0.2500 0.0000  2 Pt 3.02-3.17, 4 Tl 3.15-3.26, 2 Ho 3.34
Ho2 0.6364 0.7500 0.0000  2 Pt 3.02-3.17, 4 Tl 3.15-3.26, 2 Ho 3.34
Ho3 0.0742 0.0929 0.2924  1 Pt 2.71
Ho4 0.7818 0.4071 0.7076  1 Pt 2.71
Ho5 0.2182 0.5929 0.2924  1 Pt 2.71
Ho6 0.9258 0.9071 0.7076  1 Pt 2.71
Tl1 0.7504 0.5442 0.3410  6 Ho 3.10-3.28, 1 Tl 3.36, 1 Pt 3.39
Tl2 0.5906 0.0442 0.3410  6 Ho 3.10-3.28, 1 Tl 3.36, 1 Pt 3.39
Tl3 0.4094 0.9558 0.6590  6 Ho 3.10-3.28, 1 Tl 3.36, 1 Pt 3.39
Tl4 0.2496 0.4558 0.6590  6 Ho 3.10-3.28, 1 Tl 3.36, 1 Pt 3.39
Pt1 0.1240 0.7500 0.0000  3 Ho 2.71-3.02
Pt2 0.8760 0.2500 0.0000  3 Ho 2.71-3.02

Summary:
SG: C2/c
Formation energy in eV/atom: -0.535

---

Computed, not measured: a relaxed Rb3Np2Se9 crystal at the PBE level of DFT.

Cell lengths 7.5125, 7.5125, 9.3245 Å; angles 90.00, 90.00, 120.00 degrees
Last column: nearest neighbours and their distance in Å.
Element x y z (fractional)
Rb1 0.6667 0.3333 0.6561  12 Se 3.72-3.87
Rb2 0.0000 0.0000 0.0000  12 Se 3.76-3.78
Rb3 0.3333 0.6667 0.3439  12 Se 3.72-3.87
Np1 0.6667 0.3333 0.1748  6 Se 2.59-2.71
Np2 0.3333 0.6667 0.8252  6 Se 2.59-2.71
Se1 0.1687 0.8313 0.6697  1 Np 2.59
Se2 0.1687 0.3374 0.6697  1 Np 2.59
Se3 0.5000 0.5000 0.0000  2 Np 2.71
Se4 0.8313 0.6626 0.3303  1 Np 2.59
Se5 0.3374 0.1687 0.3303  1 Np 2.59
Se6 0.6626 0.8313 0.6697  1 Np 2.59
Se7 0.8313 0.1687 0.3303  1 Np 2.59
Se8 0.0000 0.5000 0.0000  2 Np 2.71
Se9 0.5000 0.0000 0.0000  2 Np 2.71

Summary:
SG: P-3m1
Raw formation energy in eV per formula unit: -10.61

---

Computed, not measured: a relaxed ScBP2C crystal at the PBE level of DFT.

Cell lengths 3.2415, 3.8132, 6.2291 Å; angles 75.03, 83.67, 90.12 degrees
Last column: nearest neighbours and their distance in Å.
Element x y z (fractional)
Sc1 0.8183 0.9611 0.2356  2 C 2.40-2.44, 1 P 2.64
P1 0.2802 0.3858 0.4202  1 B 1.85
P2 0.8137 0.5602 0.9096  1 C 1.86, 1 B 1.97
C1 0.3693 0.2324 0.9514  1 B 1.50
B1 0.2185 0.3434 0.7252  1 C 1.50

Summary:
SG: P1
Polymorph energy (0 for the lowest one) in meV per atom: 191
Formation energy in eV/atom: -0.052

---

In eV/atom, the energy values for the records above are, in order, -4.41 -4.62 -5.05 -6.66.